No. 1
{
  "formula": "BiI2Br",
  "functional": "PBE",
  "state": "relaxed",
  "cell": [[0.8684, 2.9927, -7.9960], [-3.0250, -5.8903, 5.4589], [-4.8386, 3.0589, 0.6194]],
  "species": ["I", "Br", "Bi", "I"],
  "frac_coords": [[0.6306, 0.3661, 0.0000], [0.0038, 0.0038, 0.5000], [0.9970, 0.9970, 0.0000], [0.3661, 0.6306, 0.0000]],
  "sg": "Amm2 (38)"
}


No. 2
{
  "formula": "Li2HoIrO6",
  "functional": "PBE",
  "state": "relaxed",
  "cell": [[-2.1141, -2.5050, -4.2070], [3.5504, -4.1115, 0.6640], [-5.0404, -3.5862, 4.7453]],
  "species": ["O", "O", "Li", "O", "O", "O", "O", "Li", "Li", "Ho", "Ho", "O", "O", "Ir", "O", "Li", "Ir", "O", "O", "O"],
  "frac_coords": [[0.6369, 0.3076, 0.5722], [0.8806, 0.5691, 0.2292], [0.5164, 0.4752, 0.2438], [0.6880, 0.3504, 0.9412], [0.3120, 0.6496, 0.0588], [0.3631, 0.6924, 0.4278], [0.6194, 0.0691, 0.2708], [0.9836, 0.9752, 0.2562], [0.4836, 0.5248, 0.7562], [0.5000, 0.0000, 0.0000], [0.0000, 0.5000, 0.5000], [0.8120, 0.8504, 0.5588], [0.1369, 0.1924, 0.0722], [0.0000, 0.5000, 0.0000], [0.8631, 0.8076, 0.9278], [0.0164, 0.0248, 0.7438], [0.5000, 0.0000, 0.5000], [0.3806, 0.9309, 0.7292], [0.1880, 0.1496, 0.4412], [0.1194, 0.4309, 0.7708]],
  "sg": "P2_1/c (14)"
}


No. 3
{
  "formula": "Ba2HgMo",
  "functional": "PBE",
  "state": "relaxed",
  "cell": [[9.0492, 0.0000, 0.0000], [0.0000, 9.0492, 0.0000], [4.5246, 4.5246, 3.3318]],
  "species": ["Ba", "Ba", "Ba", "Ba", "Mo", "Hg", "Mo", "Hg"],
  "frac_coords": [[0.1465, 0.6250, 0.2500], [0.3750, 0.3965, 0.7500], [0.6035, 0.1250, 0.2500], [0.8750, 0.8535, 0.7500], [0.2500, 0.7500, 0.5000], [0.0000, 0.0000, 0.0000], [0.5000, 0.5000, 0.0000], [0.7500, 0.2500, 0.5000]],
  "sg": "I-42d (122)",
  "e_form_kj_per_mol_atoms": 78.10
}


No. 4
{
  "formula": "Rb2LiAlI6",
  "functional": "PBE",
  "state": "relaxed",
  "cell": [[-4.9217, -6.1351, 2.3848], [4.2846, -0.7255, 6.9761], [-3.8472, 0.3977, 7.2458]],
  "species": ["I", "I", "Rb", "Li", "Rb", "I", "I", "I", "Al", "I"],
  "frac_coords": [[0.2398, 0.2398, 0.0000], [0.2404, 0.2404, 0.5192], [0.2500, 0.7500, 0.5000], [0.5000, 0.5000, 0.0000], [0.7500, 0.2500, 0.5000], [0.7602, 0.2398, 0.0000], [0.2398, 0.7602, 0.0000], [0.7602, 0.7602, 0.0000], [0.0000, 0.0000, 0.0000], [0.7596, 0.7596, 0.4808]],
  "sg": "I4/mmm (139)"
}


No. 5
{
  "formula": "Ti6GaPb",
  "functional": "PBE",
  "state": "relaxed",
  "cell": [[-3.9094, -1.3455, 2.3150], [-2.2299, -2.0872, -4.9788], [3.2199, -3.4725, 3.4193]],
  "species": ["Ti", "Ti", "Ti", "Ga", "Pb", "Ti", "Ti", "Ti"],
  "frac_coords": [[0.5000, 0.9182, 0.5877], [0.0000, 0.0774, 0.4129], [0.5000, 0.4123, 0.0818], [0.0000, 0.0832, 0.9168], [0.5000, 0.4166, 0.5834], [0.0000, 0.5878, 0.4122], [0.0000, 0.5871, 0.9226], [0.5000, 0.9170, 0.0830]],
  "sg": "Amm2 (38)",
  "e_form_kj_per_mol_atoms": -15.69
}


No. 6
{
  "formula": "ScCuNi3",
  "functional": "PBE",
  "state": "relaxed",
  "cell": [[4.2939, 0.0000, 0.0000], [0.0000, 4.2939, 0.0000], [0.0000, 0.0000, 4.2939]],
  "species": ["Sc", "Ni", "Ni", "Cu", "Ni"],
  "frac_coords": [[0.5000, 0.5000, 0.5000], [0.0000, 0.0000, 0.5000], [0.5000, 0.0000, 0.0000], [0.0000, 0.0000, 0.0000], [0.0000, 0.5000, 0.0000]],
  "sg": "Pm-3m (221)",
  "e_form_kj_per_mol_atoms": 44.58
}


No. 7
{
  "formula": "La2Tb4Tm5",
  "functional": "PBE",
  "state": "relaxed",
  "cell": [[-1.6737, 0.1393, -3.1551], [-6.5651, -5.2870, 3.3289], [-1.4560, 11.6601, 3.1619]],
  "species": ["Tm", "Tm", "Tb", "Tb", "Tb", "Tm", "La", "Tb", "Tm", "La", "Tm"],
  "frac_coords": [[0.2653, 0.8689, 0.5323], [0.5000, 0.0000, 0.0000], [0.6896, 0.5255, 0.3654], [0.3104, 0.4745, 0.6346], [0.9303, 0.6256, 0.9159], [0.1311, 0.1837, 0.2590], [0.8706, 0.2024, 0.7749], [0.0697, 0.3744, 0.0841], [0.8689, 0.8163, 0.7410], [0.1294, 0.7976, 0.2251], [0.7347, 0.1311, 0.4677]],
  "sg": "P-1 (2)",
  "e_form_kj_per_mol_atoms": 11.73
}


No. 8
{
  "formula": "ScFeMo2",
  "functional": "PBE",
  "state": "relaxed",
  "cell": [[9.1125, -0.0125, -0.0074], [8.6615, 2.8314, -0.0074], [8.6615, 1.3736, 2.4758]],
  "species": ["Sc", "Mo", "Mo", "Fe"],
  "frac_coords": [[0.2500, 0.2500, 0.2500], [0.0084, 0.0084, 0.0084], [0.4916, 0.4916, 0.4916], [0.7500, 0.7500, 0.7500]],
  "sg": "R-3m (166)",
  "e_form_kj_per_mol_atoms": 37.10
}


No. 9
{
  "formula": "Sn3AsOs",
  "functional": "PBE",
  "state": "relaxed",
  "cell": [[5.2154, 0.0000, 0.0000], [0.0000, 5.2154, 0.0000], [0.0000, 0.0000, 5.2154]],
  "species": ["As", "Sn", "Sn", "Os", "Sn"],
  "frac_coords": [[0.0000, 0.0000, 0.0000], [0.0000, 0.0000, 0.5000], [0.0000, 0.5000, 0.0000], [0.5000, 0.5000, 0.5000], [0.5000, 0.0000, 0.0000]],
  "sg": "Pm-3m (221)",
  "e_form_kj_per_mol_atoms": 143.75
}


No. 10
{
  "formula": "NdHoCu2",
  "functional": "PBE",
  "state": "relaxed",
  "cell": [[-2.6435, 1.0222, -2.0627], [-0.5225, -3.3253, -0.9783], [-4.5318, -0.8698, 5.3767]],
  "species": ["Ho", "Cu", "Cu", "Nd"],
  "frac_coords": [[0.5000, 0.5000, 0.0000], [0.0000, 0.0000, 0.2271], [0.0000, 0.0000, 0.7729], [0.5000, 0.5000, 0.5000]],
  "sg": "P4/mmm (123)",
  "e_form_kj_per_mol_atoms": -20.01
}


No. 11
{
  "formula": "Ho2Sc2Ru3",
  "functional": "PBE",
  "state": "relaxed",
  "cell": [[-3.0030, -3.1745, 2.0320], [1.5049, -0.6692, -4.5162], [7.0049, -1.3740, 2.5278]],
  "species": ["Ru", "Sc", "Ru", "Ru", "Sc", "Ho", "Ho"],
  "frac_coords": [[0.0000, 0.0000, 0.0000], [0.7428, 0.8713, 0.6134], [0.4993, 0.2497, 0.7474], [0.5007, 0.7503, 0.2526], [0.2572, 0.1287, 0.3866], [0.2371, 0.6186, 0.8549], [0.7629, 0.3814, 0.1451]],
  "sg": "P-1 (2)",
  "e_form_kj_per_mol_atoms": -32.89
}


No. 12
{
  "formula": "BaZn2Rh",
  "functional": "PBE",
  "state": "relaxed",
  "cell": [[-1.3343, 3.3320, -2.1289], [-3.8072, -1.6897, -0.2584], [-1.5969, 2.6795, 5.1945]],
  "species": ["Rh", "Zn", "Ba", "Zn"],
  "frac_coords": [[0.5000, 0.8745, 0.8280], [0.5000, 0.3716, 0.0507], [0.0000, 0.3785, 0.5706], [0.0000, 0.8754, 0.0507]],
  "sg": "Pm (6)",
  "e_form_kj_per_mol_atoms": -11.62
}


No. 13
{
  "formula": "PaCoIr",
  "functional": "PBE",
  "state": "relaxed",
  "cell": [[3.9143, 0.0000, 0.0000], [0.0000, 4.0285, 0.0000], [-1.9571, 0.0000, 6.4694]],
  "species": ["Pa", "Pa", "Co", "Ir", "Co", "Ir"],
  "frac_coords": [[0.9053, 0.2500, 0.8107], [0.0947, 0.7500, 0.1893], [0.4154, 0.7500, 0.8309], [0.7562, 0.7500, 0.5123], [0.5846, 0.2500, 0.1691], [0.2438, 0.2500, 0.4877]],
  "sg": "Cmcm (63)",
  "e_form_kj_per_mol_atoms": -39.26
}


No. 14
{
  "formula": "NaPN",
  "functional": "PBE",
  "state": "relaxed",
  "cell": [[2.7604, 0.0000, 0.0000], [0.0000, 5.1346, 0.0000], [0.0000, 0.0000, 11.8729]],
  "species": ["P", "Na", "P", "N", "P", "Na", "Na", "P", "N", "N", "N", "Na"],
  "frac_coords": [[0.2500, 0.7436, 0.4314], [0.2500, 0.7577, 0.6707], [0.7500, 0.2436, 0.0686], [0.2500, 0.2572, 0.6565], [0.7500, 0.2564, 0.5686], [0.2500, 0.7423, 0.1707], [0.7500, 0.2423, 0.3293], [0.2500, 0.7564, 0.9314], [0.2500, 0.2428, 0.1565], [0.7500, 0.7572, 0.8435], [0.7500, 0.7428, 0.3435], [0.7500, 0.2577, 0.8293]],
  "sg": "Pnma (62)"
}


No. 15
{
  "formula": "Tl2IrOs",
  "functional": "PBE",
  "state": "relaxed",
  "cell": [[9.0348, -0.0227, -0.0134], [8.5059, 3.0462, -0.0134], [8.5059, 1.4662, 2.6701]],
  "species": ["Tl", "Tl", "Os", "Ir"],
  "frac_coords": [[0.9996, 0.9996, 0.9996], [0.5004, 0.5004, 0.5004], [0.7500, 0.7500, 0.7500], [0.2500, 0.2500, 0.2500]],
  "sg": "R-3m (166)",
  "e_form_kj_per_mol_atoms": 90.06
}


No. 16
{
  "formula": "Ac4ReO10",
  "functional": "PBE",
  "state": "relaxed",
  "cell": [[5.2750, 0.0000, 2.3819], [2.6375, 6.3217, 1.1909], [0.0359, 0.0000, 6.9525]],
  "species": ["O", "O", "Ac", "O", "Ac", "Ac", "O", "O", "O", "O", "O", "O", "Re", "Ac", "O"],
  "frac_coords": [[0.1201, 0.2575, 0.9206], [0.2982, 0.7425, 0.0794], [0.8001, 0.5988, 0.8010], [0.3776, 0.9206, 0.7425], [0.6011, 0.1990, 0.5988], [0.1999, 0.4012, 0.1990], [0.7500, 0.5000, 0.5000], [0.2500, 0.5000, 0.5000], [0.8799, 0.7425, 0.0794], [0.6224, 0.0794, 0.2575], [0.0407, 0.0794, 0.2575], [0.7018, 0.2575, 0.9206], [0.0000, 0.0000, 0.0000], [0.3989, 0.8010, 0.4012], [0.9593, 0.9206, 0.7425]],
  "sg": "I4/m (87)"
}


No. 17
{
  "formula": "ReRu2Pt",
  "functional": "PBE",
  "state": "relaxed",
  "cell": [[3.3104, 0.0000, 0.0000], [0.0000, 3.3104, 0.0000], [0.0000, 0.0000, 5.4828]],
  "species": ["Ru", "Pt", "Re", "Ru"],
  "frac_coords": [[0.0000, 0.0000, 0.9982], [0.0000, 0.0000, 0.4986], [0.5000, 0.5000, 0.7696], [0.5000, 0.5000, 0.2336]],
  "sg": "P4mm (99)",
  "e_form_kj_per_mol_atoms": 33.03
}


No. 18
{
  "formula": "ScAl3Co",
  "functional": "PBE",
  "state": "relaxed",
  "cell": [[-1.7703, 4.6946, 0.6473], [-4.5083, -1.4554, -1.7745], [-1.4605, -1.1978, 4.6930]],
  "species": ["Co", "Al", "Sc", "Al", "Al"],
  "frac_coords": [[0.5000, 0.5000, 0.5000], [0.0000, 0.0000, 0.5000], [0.0000, 0.0000, 0.0000], [0.0000, 0.5000, 0.0000], [0.5000, 0.0000, 0.0000]],
  "sg": "Pm-3m (221)",
  "e_form_kj_per_mol_atoms": 154.62
}


No. 19
{
  "formula": "TmCo4Pt",
  "functional": "PBE",
  "state": "relaxed",
  "cell": [[4.8904, 0.0000, 0.0000], [2.4452, 4.2352, 0.0000], [2.4452, 1.4117, 3.9930]],
  "species": ["Co", "Pt", "Co", "Tm", "Co", "Co"],
  "frac_coords": [[0.6243, 0.1272, 0.6243], [0.2500, 0.2500, 0.2500], [0.1272, 0.6243, 0.6243], [0.0000, 0.0000, 0.0000], [0.6243, 0.6243, 0.6243], [0.6243, 0.6243, 0.1272]],
  "sg": "F-43m (216)",
  "e_form_kj_per_mol_atoms": -26.41
}


No. 20
{
  "formula": "NaCoGe",
  "functional": "PBE",
  "state": "relaxed",
  "cell": [[3.9036, 0.0004, -0.0027], [-0.0006, 5.1532, -0.0001], [1.9545, -0.0010, 5.3901]],
  "species": ["Na", "Ge", "Na", "Co", "Co", "Ge"],
  "frac_coords": [[0.4716, 0.5985, 0.4716], [0.6609, 0.0980, 0.0927], [0.9319, 0.0986, 0.5501], [0.2019, 0.8481, 0.0108], [0.2019, 0.3481, 0.0108], [0.7428, 0.5980, 0.9289]],
  "sg": "Cmcm (63)",
  "e_form_kj_per_mol_atoms": -3.57
}


| no. | magnetic moment (μB per formula unit) | energy (eV/atom) |
| --- | --- | --- |
| 1 | 0.0 | -2.6679 |
| 2 | 1.0 | -6.4194 |
| 3 | 2.4 | -2.9352 |
| 4 | 0.0 | -2.7179 |
| 5 | 0.0 | -6.9257 |
| 6 | 0.0 | -5.0923 |
| 7 | 0.0 | -4.4905 |
| 8 | 1.3 | -8.7296 |
| 9 | 1.8 | -4.0877 |
| 10 | 0.0 | -4.5918 |
| 11 | 0.0 | -7.4332 |
| 12 | 0.0 | -3.0760 |
| 13 | 0.0 | -8.8945 |
| 14 | 0.0 | -5.2036 |
| 15 | 0.0 | -5.2724 |
| 16 | 0.7 | -7.7036 |
| 17 | 0.6 | -8.9178 |
| 18 | 0.7 | -3.3305 |
| 19 | 6.6 | -6.7630 |
| 20 | 0.6 | -4.3844 |